Entry 1:
Material: CeMgAlPt3
Method: DFT, PBE-GGA
State: optimized geometry

Cell: 5.719 6.993 6.993 Å, 120.00 90.00 90.00°
Element x y z (fractional)
Pt 0.000 0.703 0.000
Mg 0.750 0.047 0.095
Ce 0.750 0.305 0.609
Mg 0.250 0.953 0.905
Ce 0.250 0.695 0.391
Pt 0.250 0.178 0.356
Pt 0.500 0.703 0.000
Al 0.250 0.376 0.752
Pt 0.000 0.297 0.000
Al 0.750 0.624 0.248
Pt 0.500 0.297 0.000
Pt 0.750 0.822 0.644

V	20.19	Å³/atom
E_form	-0.69	eV/atom
density	10.6	g/cm3
space-group type	Cmcm (63)
VASP energy	-67.05	eV/cell
DOS(E_F)	7.97	states/eV/f.u.

***

Entry 2:
Material: Fe2SiMo
Method: DFT, PBE-GGA
State: optimized geometry

Cell: 6.371 6.371 5.191 Å, 52.15 52.15 90.00°
Element x y z (fractional)
Fe 0.153 0.625 0.250
Fe 0.375 0.403 0.750
Fe 0.597 0.125 0.250
Mo 0.000 0.000 0.000
Mo 0.750 0.250 0.500
Fe 0.875 0.847 0.750
Si 0.500 0.500 0.000
Si 0.250 0.750 0.500

V	13.09	Å³/atom
raw formation energy	0.4621	eV/atom
density	7.5	g/cm3
space-group type	I-42d (122)
VASP energy	-62.66	eV/cell
DOS(E_F)	4.90	states/eV/f.u.

***

Entry 3:
Material: Ba4LiCd3
Method: DFT, PBE-GGA
State: optimized geometry

Cell: 6.064 6.064 10.491 Å, 73.20 73.20 60.00°
Element x y z (fractional)
Cd 0.747 0.747 0.758
Cd 0.253 0.253 0.242
Ba 0.377 0.377 0.868
Cd 0.500 0.500 0.500
Li 0.000 0.000 0.000
Ba 0.623 0.623 0.132
Ba 0.872 0.872 0.383
Ba 0.128 0.128 0.617

V	39.37	Å³/atom
E_form	-0.24	eV/atom
density	4.7	g/cm3
space-group type	R-3m (166)
VASP energy	-14.28	eV/cell
DOS(E_F)	7.34	states/eV/f.u.

***

Entry 4:
Material: PrPd15Pb4
Method: DFT, PBE-GGA
State: optimized geometry

Cell: 4.139 4.139 20.608 Å, 90.00 90.00 90.00°
Element x y z (fractional)
Pd 0.500 0.000 0.698
Pd 0.500 0.000 0.105
Pd 0.500 0.500 0.797
Pd 0.000 0.500 0.500
Pd 0.000 0.500 0.895
Pb 0.000 0.000 0.203
Pr 0.000 0.000 0.000
Pb 0.000 0.000 0.599
Pd 0.500 0.000 0.895
Pd 0.000 0.500 0.105
Pd 0.500 0.000 0.302
Pd 0.000 0.500 0.302
Pd 0.500 0.500 0.401
Pd 0.000 0.500 0.698
Pd 0.500 0.500 0.599
Pd 0.500 0.500 0.000
Pb 0.000 0.000 0.797
Pb 0.000 0.000 0.401
Pd 0.500 0.500 0.203
Pd 0.500 0.000 0.500

V	17.65	Å³/atom
E_form	-0.38	eV/atom
density	12.1	g/cm3
space-group type	P4/mmm (123)
VASP energy	-105.07	eV/cell
DOS(E_F)	2.57	states/eV/f.u.

***

Entry 5:
Material: KLiIr
Method: DFT, PBE-GGA
State: optimized geometry

Cell: 7.121 7.121 7.121 Å, 155.27 155.27 35.25°
Element x y z (fractional)
Ir 0.026 0.026 0.000
Li 0.623 0.623 0.000
K 0.351 0.351 0.000

V	21.04	Å³/atom
E_form	0.52	eV/atom
density	6.3	g/cm3
space-group type	I4mm (107)
VASP energy	-10.31	eV/cell
DOS(E_F)	2.23	states/eV/f.u.

***

Entry 6:
Material: BaTcPPt
Method: DFT, PBE-GGA
State: optimized geometry

Cell: 3.915 3.915 11.790 Å, 90.00 90.00 90.00°
Element x y z (fractional)
Pt 0.750 0.250 0.500
Tc 0.250 0.750 0.000
Ba 0.250 0.250 0.721
Ba 0.750 0.750 0.279
Pt 0.250 0.750 0.500
P 0.250 0.250 0.118
P 0.750 0.750 0.882
Tc 0.750 0.250 0.000

V	22.59	Å³/atom
E_form	-0.62	eV/atom
density	8.5	g/cm3
space-group type	P4/nmm (129)
VASP energy	-52.47	eV/cell
DOS(E_F)	3.15	states/eV/f.u.